LaBH: optimized geometry, PBE.

Geometry as CIF:
```
data_LaBH
_chemical_formula_sum 'La4 B4 H4'
_cell_length_a 7.6637
_cell_length_b 3.2687
_cell_length_c 7.3280
_cell_angle_alpha 90.00
_cell_angle_beta 104.33
_cell_angle_gamma 90.00
_symmetry_space_group_name_H-M 'C 1 m 1'
_symmetry_Int_Tables_number 8
_symmetry_space_group_name_Hall 'C -2y'
loop_
_atom_site_label
_atom_site_type_symbol
_atom_site_fract_x
_atom_site_fract_y
_atom_site_fract_z
La1 La 0.0000 0.0000 0.0000
La2 La 0.1306 0.5000 0.5445
B1 B 0.2988 0.5000 0.2594
B2 B 0.3100 0.0000 0.2690
H1 H 0.2593 0.0000 0.8174
H2 H 0.4545 0.5000 0.6640
```

Summary:
Magnetic moment in μB per cell: 0.00
Final energy in eV/atom: -5.352

=====

LaBH6: optimized geometry, PBE.

Geometry as CIF:
```
data_LaBH6
_chemical_formula_sum 'La2 B2 H12'
_cell_length_a 5.2733
_cell_length_b 6.1760
_cell_length_c 4.0457
_cell_angle_alpha 90.00
_cell_angle_beta 104.79
_cell_angle_gamma 90.00
_symmetry_space_group_name_H-M 'C 1 2/m 1'
_symmetry_Int_Tables_number 12
_symmetry_space_group_name_Hall '-C 2y'
loop_
_atom_site_label
_atom_site_type_symbol
_atom_site_fract_x
_atom_site_fract_y
_atom_site_fract_z
La1 La 0.0000 0.0000 0.0000
B1 B 0.0000 0.5000 0.5000
H1 H 0.0938 0.3419 0.7512
H2 H 0.2493 0.5000 0.4323
```

Summary:
Magnetic moment in μB per cell: 0.00
Final energy in eV/atom: -4.104

=====

LaBH2: optimized geometry, PBE.

Geometry as CIF:
```
data_LaBH2
_chemical_formula_sum 'La4 B4 H8'
_cell_length_a 5.6606
_cell_length_b 5.6606
_cell_length_c 5.6606
_cell_angle_alpha 90.00
_cell_angle_beta 90.00
_cell_angle_gamma 90.00
_symmetry_space_group_name_H-M 'F m -3 m'
_symmetry_Int_Tables_number 225
_symmetry_space_group_name_Hall '-F 4 2 3'
loop_
_atom_site_label
_atom_site_type_symbol
_atom_site_fract_x
_atom_site_fract_y
_atom_site_fract_z
La1 La 0.0000 0.0000 0.0000
B1 B 0.0000 0.0000 0.5000
H1 H 0.2500 0.2500 0.2500
```

Summary:
Magnetic moment in μB per cell: 0.00
Final energy in eV/atom: -4.434

=====

LaBH: optimized geometry, PBE.

Geometry as CIF:
```
data_LaBH
_chemical_formula_sum 'La2 B2 H2'
_cell_length_a 4.1884
_cell_length_b 5.0650
_cell_length_c 5.0695
_cell_angle_alpha 89.34
_cell_angle_beta 68.96
_cell_angle_gamma 69.09
_symmetry_space_group_name_H-M 'P -1'
_symmetry_Int_Tables_number 2
_symmetry_space_group_name_Hall '-P 1'
loop_
_atom_site_label
_atom_site_type_symbol
_atom_site_fract_x
_atom_site_fract_y
_atom_site_fract_z
La1 La 0.0006 0.2494 0.2507
B1 B 0.3660 0.1301 0.6317
H1 H 0.4930 0.7462 0.2451
```

Summary:
Magnetic moment in μB per cell: 0.00
Final energy in eV/atom: -5.252

=====

LaBH: optimized geometry, PBE.

Geometry as CIF:
```
data_LaBH
_chemical_formula_sum 'La2 B2 H2'
_cell_length_a 4.1439
_cell_length_b 5.0045
_cell_length_c 5.0794
_cell_angle_alpha 76.27
_cell_angle_beta 68.89
_cell_angle_gamma 72.15
_symmetry_space_group_name_H-M 'P 1'
_symmetry_Int_Tables_number 1
_symmetry_space_group_name_Hall 'P 1'
loop_
_atom_site_label
_atom_site_type_symbol
_atom_site_fract_x
_atom_site_fract_y
_atom_site_fract_z
La1 La 0.0000 0.0000 0.0000
La2 La 0.4283 0.4985 0.4957
B1 B 0.6859 0.6420 0.8993
B2 B 0.7506 0.8524 0.5912
H1 H 0.4472 0.4942 0.0000
H2 H 0.5039 0.9837 0.4713
```

Summary:
Magnetic moment in μB per cell: 0.00
Final energy in eV/atom: -5.246

=====

LaB2H: optimized geometry, PBE.

Geometry as CIF:
```
data_LaB2H
_chemical_formula_sum 'La4 B8 H4'
_cell_length_a 6.1270
_cell_length_b 6.1270
_cell_length_c 6.1270
_cell_angle_alpha 90.00
_cell_angle_beta 90.00
_cell_angle_gamma 90.00
_symmetry_space_group_name_H-M 'F m -3 m'
_symmetry_Int_Tables_number 225
_symmetry_space_group_name_Hall '-F 4 2 3'
loop_
_atom_site_label
_atom_site_type_symbol
_atom_site_fract_x
_atom_site_fract_y
_atom_site_fract_z
La1 La 0.0000 0.0000 0.0000
B1 B 0.2500 0.2500 0.2500
H1 H 0.0000 0.0000 0.5000
```

Summary:
Magnetic moment in μB per cell: 0.00
Final energy in eV/atom: -4.130

=====

LaB3H: optimized geometry, PBE.

Geometry as CIF:
```
data_LaB3H
_chemical_formula_sum 'La1 B3 H1'
_cell_length_a 5.0777
_cell_length_b 5.0777
_cell_length_c 5.0777
_cell_angle_alpha 90.00
_cell_angle_beta 90.00
_cell_angle_gamma 90.00
_symmetry_space_group_name_H-M 'P m -3 m'
_symmetry_Int_Tables_number 221
_symmetry_space_group_name_Hall '-P 4 2 3'
loop_
_atom_site_label
_atom_site_type_symbol
_atom_site_fract_x
_atom_site_fract_y
_atom_site_fract_z
La1 La 0.0000 0.0000 0.0000
B1 B 0.0000 0.0000 0.5000
H1 H 0.5000 0.5000 0.5000
```

Summary:
Magnetic moment in μB per cell: 0.34
Final energy in eV/atom: -2.803

=====

La3BH: optimized geometry, PBE.

Geometry as CIF:
```
data_La3BH
_chemical_formula_sum 'La3 B1 H1'
_cell_length_a 4.8040
_cell_length_b 4.8040
_cell_length_c 4.8040
_cell_angle_alpha 90.00
_cell_angle_beta 90.00
_cell_angle_gamma 90.00
_symmetry_space_group_name_H-M 'P m -3 m'
_symmetry_Int_Tables_number 221
_symmetry_space_group_name_Hall '-P 4 2 3'
loop_
_atom_site_label
_atom_site_type_symbol
_atom_site_fract_x
_atom_site_fract_y
_atom_site_fract_z
La1 La 0.0000 0.0000 0.5000
B1 B 0.5000 0.5000 0.5000
H1 H 0.0000 0.0000 0.0000
```

Summary:
Magnetic moment in μB per cell: 0.00
Final energy in eV/atom: -4.662

=====

LaBH: optimized geometry, PBE.

Geometry as CIF:
```
data_LaBH
_chemical_formula_sum 'La2 B2 H2'
_cell_length_a 3.6362
_cell_length_b 4.0725
_cell_length_c 6.1416
_cell_angle_alpha 90.00
_cell_angle_beta 90.00
_cell_angle_gamma 90.00
_symmetry_space_group_name_H-M 'P m m m'
_symmetry_Int_Tables_number 47
_symmetry_space_group_name_Hall '-P 2 2'
loop_
_atom_site_label
_atom_site_type_symbol
_atom_site_fract_x
_atom_site_fract_y
_atom_site_fract_z
La1 La 0.0000 0.0000 0.0000
La2 La 0.0000 0.5000 0.5000
B1 B 0.5000 0.0000 0.3718
H1 H 0.5000 0.5000 0.1879
```

Summary:
Magnetic moment in μB per cell: 0.00
Final energy in eV/atom: -4.876

=====

LaBH2: optimized geometry, PBE.

Geometry as CIF:
```
data_LaBH2
_chemical_formula_sum 'La4 B4 H8'
_cell_length_a 4.1194
_cell_length_b 4.1194
_cell_length_c 9.8329
_cell_angle_alpha 90.00
_cell_angle_beta 90.00
_cell_angle_gamma 90.00
_symmetry_space_group_name_H-M 'I 41/a m d'
_symmetry_Int_Tables_number 141
loop_
_symmetry_equiv_pos_as_xyz
'x,y,z'
'-x,-y,-z'
'-y+1/4,x+3/4,z+1/4'
'y+1/4,-x+3/4,-z+1/4'
'-x+1/2,-y,z+1/2'
'x+1/2,y,-z+1/2'
'y+1/4,-x+1/4,z+3/4'
'-y+1/4,x+1/4,-z+3/4'
'x,-y,-z'
'-x,y,z'
'-y+1/4,-x+1/4,-z+3/4'
'y+1/4,x+1/4,z+3/4'
'-x+1/2,y,-z+1/2'
'x+1/2,-y,z+1/2'
'y+1/4,x+3/4,-z+1/4'
'-y+1/4,-x+3/4,z+1/4'
'x+1/2,y+1/2,z+1/2'
'-x+1/2,-y+1/2,-z+1/2'
'-y+3/4,x+1/4,z+3/4'
'y+3/4,-x+1/4,-z+3/4'
'-x,-y+1/2,z'
'x,y+1/2,-z'
'y+3/4,-x+3/4,z+1/4'
'-y+3/4,x+3/4,-z+1/4'
'x+1/2,-y+1/2,-z+1/2'
'-x+1/2,y+1/2,z+1/2'
'-y+3/4,-x+3/4,-z+1/4'
'y+3/4,x+3/4,z+1/4'
'-x,y+1/2,-z'
'x,-y+1/2,z'
'y+3/4,x+1/4,-z+3/4'
'-y+3/4,-x+1/4,z+3/4'
loop_
_atom_site_label
_atom_site_type_symbol
_atom_site_fract_x
_atom_site_fract_y
_atom_site_fract_z
La1 La 0.0000 0.2500 0.3750
B1 B 0.0000 0.2500 0.8750
H1 H 0.0000 0.0000 0.0000
```

Summary:
Magnetic moment in μB per cell: 0.00
Final energy in eV/atom: -4.400

=====

La2BH: optimized geometry, PBE.

Geometry as CIF:
```
data_La2BH
_chemical_formula_sum 'La8 B4 H4'
_cell_length_a 5.3441
_cell_length_b 5.3441
_cell_length_c 13.2411
_cell_angle_alpha 90.00
_cell_angle_beta 90.00
_cell_angle_gamma 90.00
_symmetry_space_group_name_H-M 'I -4 2 d'
_symmetry_Int_Tables_number 122
_symmetry_space_group_name_Hall 'I -4 2bw'
loop_
_atom_site_label
_atom_site_type_symbol
_atom_site_fract_x
_atom_site_fract_y
_atom_site_fract_z
La1 La 0.2331 0.2500 0.1250
B1 B 0.0000 0.0000 0.5000
H1 H 0.0000 0.0000 0.0000
```

Summary:
Magnetic moment in μB per cell: 0.00
Final energy in eV/atom: -4.933

=====

- Which of these has the highest final energy?
  LaB3H